Record 1
# MgTc2Br (PBE-GGA, optimized geometry)
# Polymorph energy (0 for the lowest one): 602 meV/atom
data_MgTc2Br
_chemical_formula_sum 'Mg1 Tc2 Br1'
_cell_length_a 3.106
_cell_length_b 4.337
_cell_length_c 5.089
_cell_angle_alpha 90.00
_cell_angle_beta 90.00
_cell_angle_gamma 90.00
_symmetry_space_group_name_H-M 'P m m m'
_symmetry_Int_Tables_number 47
loop_
_symmetry_equiv_pos_as_xyz
'x,y,z'
'-x,-y,-z'
'-x,-y,z'
'x,y,-z'
'x,-y,-z'
'-x,y,z'
'-x,y,-z'
'x,-y,z'
loop_
_atom_site_label
_atom_site_type_symbol
_atom_site_fract_x
_atom_site_fract_y
_atom_site_fract_z
Mg1 Mg 0.000 0.000 0.000
Tc1 Tc 0.000 0.500 0.500
Tc2 Tc 0.500 0.000 0.500
Br1 Br 0.500 0.500 0.000

***

Record 2
# MgTcBr2 (PBE-GGA, optimized geometry)
# Polymorph energy (0 for the lowest one): 340 meV/atom
data_MgTcBr2
_chemical_formula_sum 'Mg2 Tc2 Br4'
_cell_length_a 3.363
_cell_length_b 7.398
_cell_length_c 9.743
_cell_angle_alpha 90.00
_cell_angle_beta 90.00
_cell_angle_gamma 90.00
_symmetry_space_group_name_H-M 'I m m 2'
_symmetry_Int_Tables_number 44
loop_
_symmetry_equiv_pos_as_xyz
'x,y,z'
'-x,-y,z'
'-x,y,z'
'x,-y,z'
'x+1/2,y+1/2,z+1/2'
'-x+1/2,-y+1/2,z+1/2'
'-x+1/2,y+1/2,z+1/2'
'x+1/2,-y+1/2,z+1/2'
loop_
_atom_site_label
_atom_site_type_symbol
_atom_site_fract_x
_atom_site_fract_y
_atom_site_fract_z
Mg1 Mg 0.000 0.000 0.000
Tc1 Tc 0.000 0.500 0.252
Br1 Br 0.000 0.000 0.563
Br2 Br 0.000 0.500 0.701

***

Record 3
# MgTc2Br (PBE-GGA, optimized geometry)
# Polymorph energy (0 for the lowest one): 226 meV/atom
data_MgTc2Br
_chemical_formula_sum 'Mg2 Tc4 Br2'
_cell_length_a 7.607
_cell_length_b 3.159
_cell_length_c 7.772
_cell_angle_alpha 90.00
_cell_angle_beta 114.54
_cell_angle_gamma 90.00
_symmetry_space_group_name_H-M 'C 1 m 1'
_symmetry_Int_Tables_number 8
loop_
_symmetry_equiv_pos_as_xyz
'x,y,z'
'x,-y,z'
'x+1/2,y+1/2,z'
'x+1/2,-y+1/2,z'
loop_
_atom_site_label
_atom_site_type_symbol
_atom_site_fract_x
_atom_site_fract_y
_atom_site_fract_z
Mg1 Mg 0.000 0.000 0.000
Tc1 Tc 0.086 0.500 0.377
Tc2 Tc 0.314 0.500 0.246
Br1 Br 0.247 0.000 0.699

***

Record 4
# MgTc2Br (PBE-GGA, optimized geometry)
# Polymorph energy (0 for the lowest one): 0 meV/atom
data_MgTc2Br
_chemical_formula_sum 'Mg1 Tc2 Br1'
_cell_length_a 3.117
_cell_length_b 3.091
_cell_length_c 7.730
_cell_angle_alpha 90.00
_cell_angle_beta 101.22
_cell_angle_gamma 90.00
_symmetry_space_group_name_H-M 'P 1 m 1'
_symmetry_Int_Tables_number 6
loop_
_symmetry_equiv_pos_as_xyz
'x,y,z'
'x,-y,z'
loop_
_atom_site_label
_atom_site_type_symbol
_atom_site_fract_x
_atom_site_fract_y
_atom_site_fract_z
Mg1 Mg 0.000 0.000 0.000
Tc1 Tc 0.381 0.500 0.754
Tc2 Tc 0.796 0.000 0.578
Br1 Br 0.649 0.500 0.279

***

Calculated E_form (uncorrected) in order - 644 183 268 42 meV per atom